First-principles (PBE) data for a relaxed structure of CdCuI, as listed in the Alexandria database. Values from VASP.

Properties
Total energy in eV/atom: -2.038
Crystal system: hexagonal
SG: P-6m2 (187)
E_form (uncorrected) in meV/atom: 149

The structure in Quantum ESPRESSO input format:
```
&SYSTEM
  ibrav = 0, nat = 6, ntyp = 3
/
ATOMIC_SPECIES
Cd 112.41 Cd.upf
Cu 63.55 Cu.upf
I 126.90 I.upf
ATOMIC_POSITIONS angstrom
Cd 0.000 0.000 1.539
Cd 0.000 0.000 9.772
Cu 0.000 2.278 0.000
Cu 0.000 2.278 5.656
I 1.973 1.139 3.896
I 1.973 1.139 7.415
CELL_PARAMETERS angstrom
3.945 0.000 0.000
-1.973 3.417 0.000
0.000 0.000 11.311
```